Entry from the Alexandria database: CsKIrI6 after structural relaxation (PBE).

Fermi-level density of states ... 28.26 states/eV per cell
DFT total energy ... -25.6 eV/f.u.

Unit cell a=8.593 b=14.896 c=7.136 alpha=90.00 beta=90.02 gamma=90.00
Space group C2 (No. 5)
Inequivalent atoms, fractional coordinates:
Cs 0.000 0.000 0.000 (multiplicity 2)
K 0.000 0.333 0.500 (multiplicity 2)
Ir 0.000 0.667 0.500 (multiplicity 2)
I 0.121 0.537 0.280 (multiplicity 4)
I 0.135 0.792 0.280 (multiplicity 4)
I 0.244 0.171 0.280 (multiplicity 4)


Entry from the Alexandria database: Cs2MgIrI6 after structural relaxation (PBE).

Fermi-level density of states ... 4.68 states/eV per cell
DFT total energy ... -29.1 eV/f.u.

Unit cell a=8.195 b=8.195 c=11.544 alpha=90.00 beta=90.00 gamma=90.00
Space group I4/mmm (No. 139)
Inequivalent atoms, fractional coordinates:
Cs 0.000 0.500 0.250 (multiplicity 4)
Mg 0.000 0.000 0.000 (multiplicity 2)
Ir 0.000 0.000 0.500 (multiplicity 2)
I 0.000 0.000 0.261 (multiplicity 4)
I 0.238 0.238 0.500 (multiplicity 8)


Entry from the Alexandria database: CsIrIN2 after structural relaxation (PBE).

Fermi-level density of states ... 2.28 states/eV per cell
DFT total energy ... -21.9 eV/f.u.
Distance to the lowest polymorph of the same formula ... 0 kJ/mol of formula units

Unit cell a=4.314 b=4.314 c=5.748 alpha=90.00 beta=90.00 gamma=90.00
Space group P4/mmm (No. 123)
Inequivalent atoms, fractional coordinates:
Cs 0.000 0.000 0.000 (multiplicity 1)
Ir 0.500 0.500 0.500 (multiplicity 1)
I 0.500 0.500 0.000 (multiplicity 1)
N 0.000 0.500 0.500 (multiplicity 2)


Entry from the Alexandria database: CsIrIN2 after structural relaxation (PBE).

Fermi-level density of states ... 4.35 states/eV per cell
DFT total energy ... -13.7 eV/f.u.
Distance to the lowest polymorph of the same formula ... 792 kJ/mol of formula units

Unit cell a=4.343 b=4.343 c=7.648 alpha=90.00 beta=90.00 gamma=90.00
Space group P4/mmm (No. 123)
Inequivalent atoms, fractional coordinates:
Cs 0.000 0.000 0.000 (multiplicity 1)
Ir 0.500 0.500 0.500 (multiplicity 1)
I 0.000 0.000 0.500 (multiplicity 1)
N 0.000 0.500 0.000 (multiplicity 2)


Entry from the Alexandria database: Cs2IrI6N after structural relaxation (PBE).

Fermi-level density of states ... 9.13 states/eV per cell
DFT total energy ... -29.7 eV/f.u.

Unit cell a=7.544 b=7.544 c=13.121 alpha=90.00 beta=90.00 gamma=90.00
Space group I4/mmm (No. 139)
Inequivalent atoms, fractional coordinates:
Cs 0.000 0.500 0.250 (multiplicity 4)
Ir 0.000 0.000 0.000 (multiplicity 2)
I 0.000 0.000 0.205 (multiplicity 4)
I 0.240 0.240 0.500 (multiplicity 8)
N 0.000 0.000 0.500 (multiplicity 2)


Entry from the Alexandria database: CsIrIO2 after structural relaxation (PBE).

Fermi-level density of states ... 2.93 states/eV per cell
DFT total energy ... -21.1 eV/f.u.
Distance to the lowest polymorph of the same formula ... 0 kJ/mol of formula units

Unit cell a=4.444 b=4.444 c=5.438 alpha=90.00 beta=90.00 gamma=90.00
Space group P4/mmm (No. 123)
Inequivalent atoms, fractional coordinates:
Cs 0.000 0.000 0.000 (multiplicity 1)
Ir 0.500 0.500 0.500 (multiplicity 1)
I 0.500 0.500 0.000 (multiplicity 1)
O 0.000 0.500 0.500 (multiplicity 2)


Entry from the Alexandria database: CsIrI2O after structural relaxation (PBE).

Fermi-level density of states ... 8.94 states/eV per cell
DFT total energy ... -10.9 eV/f.u.
Distance to the lowest polymorph of the same formula ... 903 kJ/mol of formula units

Unit cell a=6.812 b=6.812 c=4.338 alpha=90.00 beta=90.00 gamma=90.00
Space group P4/mmm (No. 123)
Inequivalent atoms, fractional coordinates:
Cs 0.000 0.000 0.000 (multiplicity 1)
Ir 0.500 0.500 0.500 (multiplicity 1)
I 0.000 0.500 0.000 (multiplicity 2)
O 0.000 0.000 0.500 (multiplicity 1)


Entry from the Alexandria database: CsIrIO2 after structural relaxation (PBE).

Fermi-level density of states ... 3.82 states/eV per cell
DFT total energy ... -15.4 eV/f.u.
Distance to the lowest polymorph of the same formula ... 552 kJ/mol of formula units

Unit cell a=4.209 b=4.209 c=7.941 alpha=90.00 beta=90.00 gamma=90.00
Space group P4/mmm (No. 123)
Inequivalent atoms, fractional coordinates:
Cs 0.000 0.000 0.000 (multiplicity 1)
Ir 0.500 0.500 0.500 (multiplicity 1)
I 0.000 0.000 0.500 (multiplicity 1)
O 0.000 0.500 0.000 (multiplicity 2)


| no. | total magnetization (μB per formula unit) |
| --- | --- |
| 1 | 1.1 |
| 2 | 0.0 |
| 3 | 0.5 |
| 4 | 3.7 |
| 5 | 1.3 |
| 6 | 1.8 |
| 7 | 3.2 |
| 8 | 1.7 |